# 1
Ba2NaCaCd | Alexandria | PBE | optimized geometry; excess energy over the best structure of this formula in the dataset = 0.0 meV/atom; E_tot = -1.607 eV per atom; total magnetization = 0.00 μB/cell; DFT formation energy = 0.0089 eV per atom
1.0
6.682 0.000 0.000
0.000 6.682 0.000
0.000 0.000 6.150
Ba Na Ca Cd
2 1 1 1
Direct
0.000 0.500 0.000
0.500 0.000 0.000
0.000 0.000 0.500
0.500 0.500 0.500
0.500 0.500 0.000

---

# 2
BaNaCaCd | Alexandria | PBE | optimized geometry; E_tot = -1.699 eV per atom; total magnetization = 0.00 μB/cell; DFT formation energy = -0.1597 eV per atom
1.0
4.090 0.000 0.000
0.000 4.090 0.000
0.000 0.000 9.202
Ba Na Ca Cd
1 1 1 1
Direct
0.000 0.000 0.000
0.500 0.500 0.318
0.000 0.000 0.577
0.500 0.500 0.758

---

# 3
BaNaCa2Cd | Alexandria | PBE | optimized geometry; E_tot = -1.606 eV per atom; total magnetization = 0.00 μB/cell; DFT formation energy = 0.0261 eV per atom
1.0
6.095 0.000 0.000
0.000 6.095 0.000
0.000 0.000 5.988
Ba Na Ca Cd
1 1 2 1
Direct
0.000 0.000 0.000
0.500 0.500 0.000
0.000 0.500 0.500
0.500 0.000 0.500
0.500 0.500 0.500